(1)
DFT (GGA-PBE) results for Ho3Er4Al4 after structural relaxation.

Structure (extended XYZ):
```
11
Lattice="5.100 0.000 0.000 0.000 6.677 0.000 -2.550 -3.338 8.442" Properties=species:S:1:pos:R:3 pbc="T T T"
Ho 0.000 0.000 1.682
Ho 2.550 3.338 6.760
Ho 0.000 3.338 0.000
Er 0.000 -1.579 5.400
Er 2.550 1.759 3.042
Er 2.550 4.917 3.042
Er 0.000 1.579 5.400
Al 0.000 3.338 2.924
Al 2.550 0.000 5.518
Al 2.550 5.309 0.000
Al 2.550 1.368 0.000
```

Output
space-group type: Immm, No. 71
raw total energy: -4.450 eV/atom
formation enthalpy at 0 K: -4.2 kcal/mol of atoms



(2)
DFT (GGA-PBE) results for HoEr2Al after structural relaxation.

Structure (extended XYZ):
```
4
Lattice="-0.964 -2.617 4.511 2.473 -4.587 0.985 3.723 -0.249 3.769" Properties=species:S:1:pos:R:3 pbc="T T T"
Al 0.000 0.000 0.000
Ho 2.616 -3.727 4.633
Er 1.308 -1.863 2.316
Er 3.924 -5.590 6.949
```

Output
space-group type: Fm-3m, No. 225
raw total energy: -4.406 eV/atom
formation enthalpy at 0 K: -1.0 kcal/mol of atoms



(3)
DFT (GGA-PBE) results for HoErAl after structural relaxation.

Structure (extended XYZ):
```
9
Lattice="4.359 0.000 0.000 0.000 8.009 0.000 0.000 -4.004 6.936" Properties=species:S:1:pos:R:3 pbc="T T T"
Al 2.180 4.004 2.312
Al 2.180 0.000 4.624
Al 0.000 0.000 0.000
Er 0.000 2.387 4.135
Er 0.000 -1.617 2.801
Er 0.000 3.235 0.000
Ho 2.180 -2.951 5.112
Ho 2.180 5.903 0.000
Ho 2.180 1.053 1.824
```

Output
space-group type: P-62m, No. 189
raw total energy: -4.490 eV/atom
formation enthalpy at 0 K: -4.5 kcal/mol of atoms



(4)
DFT (GGA-PBE) results for Ho2ErAl2 after structural relaxation.

Structure (extended XYZ):
```
10
Lattice="4.560 6.321 -10.721 -7.803 -5.040 9.455 0.593 4.197 2.727" Properties=species:S:1:pos:R:3 pbc="T T T"
Ho 4.120 6.829 -9.079
Ho -6.770 -1.352 10.540
Ho 1.815 4.712 -5.318
Ho -4.465 0.766 6.779
Er -5.866 -2.347 7.218
Er 3.217 7.825 -5.757
Al -3.224 0.081 2.906
Al 0.574 5.397 -1.445
Al -0.872 2.242 -0.933
Al -1.778 3.235 2.394
```

Output
space-group type: Cmcm, No. 63
raw total energy: -4.561 eV/atom
formation enthalpy at 0 K: -7.4 kcal/mol of atoms



(5)
DFT (GGA-PBE) results for Ho2ErAl9 after structural relaxation.

Structure (extended XYZ):
```
12
Lattice="-0.540 -4.207 -0.008 1.153 -0.140 -4.080 12.138 -1.565 3.483" Properties=species:S:1:pos:R:3 pbc="T T T"
Ho 4.043 -0.521 1.160
Ho 8.095 -1.044 2.323
Er 0.000 0.000 0.000
Al 0.306 -2.174 -2.044
Al 4.351 -2.695 -0.883
Al 8.399 -3.218 0.279
Al 1.746 -2.364 0.575
Al 5.799 -2.886 1.738
Al 9.851 -3.409 2.901
Al 2.592 -0.330 -1.461
Al 6.645 -0.853 -0.298
Al 10.698 -1.376 0.865
```

Output
space-group type: P4/mmm, No. 123
raw total energy: -4.368 eV/atom
formation enthalpy at 0 K: -9.6 kcal/mol of atoms



(6)
DFT (GGA-PBE) results for Ho4Er4Al after structural relaxation.

Structure (extended XYZ):
```
9
Lattice="-2.214 2.154 -3.671 -3.183 -5.501 -4.443 -7.311 1.462 2.133" Properties=species:S:1:pos:R:3 pbc="T T T"
Ho -10.939 -0.864 -3.314
Ho -1.769 -1.021 -2.667
Ho -6.439 2.416 -0.968
Ho -6.269 -4.302 -5.013
Er -4.971 0.093 -3.218
Er -7.738 -1.978 -2.763
Er -4.557 -3.183 -2.254
Er -8.152 1.298 -3.727
Al 0.000 0.000 0.000
```

Output
space-group type: I4/mmm, No. 139
raw total energy: -4.510 eV/atom
formation enthalpy at 0 K: -0.7 kcal/mol of atoms



(7)
DFT (GGA-PBE) results for Ho6Er8Al after structural relaxation.

Structure (extended XYZ):
```
15
Lattice="6.695 0.000 0.000 0.000 7.799 -4.503 0.000 0.000 9.006" Properties=species:S:1:pos:R:3 pbc="T T T"
Ho 4.059 5.318 -2.427
Ho 4.059 7.242 1.316
Ho 4.059 3.039 1.111
Ho 2.636 2.482 6.930
Ho 2.636 0.557 3.187
Ho 2.636 4.761 3.392
Er 5.913 7.698 -1.660
Er 5.913 5.388 2.994
Er 5.913 2.513 -1.334
Er 0.782 0.101 6.163
Er 0.782 2.411 1.509
Er 0.782 5.287 5.837
Er 5.404 2.600 4.503
Er 1.291 5.200 0.000
Al 3.347 0.000 0.000
```

Output
space-group type: P-3, No. 147
raw total energy: -4.275 eV/atom
formation enthalpy at 0 K: 5.5 kcal/mol of atoms



(8)
DFT (GGA-PBE) results for HoErAl6 after structural relaxation.

Structure (extended XYZ):
```
8
Lattice="5.483 0.000 0.000 0.000 5.483 0.000 0.000 0.000 5.483" Properties=species:S:1:pos:R:3 pbc="T T T"
Ho 2.741 2.741 2.741
Er 0.000 0.000 0.000
Al 2.741 4.112 0.000
Al 4.112 0.000 2.741
Al 0.000 2.741 1.370
Al 1.370 0.000 2.741
Al 2.741 1.370 0.000
Al 0.000 2.741 4.112
```

Output
space-group type: Pm-3, No. 200
raw total energy: -4.043 eV/atom
formation enthalpy at 0 K: -2.1 kcal/mol of atoms



(9)
DFT (GGA-PBE) results for HoErAl after structural relaxation.

Structure (extended XYZ):
```
3
Lattice="1.882 2.450 -7.509 -4.827 -2.952 5.824 0.460 2.863 1.833" Properties=species:S:1:pos:R:3 pbc="T T T"
Ho 0.665 1.994 -5.247
Er 0.669 1.779 -1.699
Al -0.941 2.412 0.924
```

Output
space-group type: R3m, No. 160
raw total energy: -4.331 eV/atom
formation enthalpy at 0 K: -0.8 kcal/mol of atoms



(10)
DFT (GGA-PBE) results for HoEr2Al6 after structural relaxation.

Structure (extended XYZ):
```
9
Lattice="3.428 0.000 0.000 0.000 6.834 -3.946 0.000 0.000 7.892" Properties=species:S:1:pos:R:3 pbc="T T T"
Ho 0.000 0.000 7.892
Er 0.000 2.278 3.946
Er 3.428 4.556 0.000
Al 1.714 2.280 1.316
Al 1.714 4.555 2.630
Al 1.714 0.000 5.259
Al 1.714 4.555 5.262
Al 1.714 2.280 -1.316
Al 1.714 6.834 -1.313
```

Output
space-group type: P6/mmm, No. 191
raw total energy: -4.508 eV/atom
formation enthalpy at 0 K: -11.3 kcal/mol of atoms



(11)
DFT (GGA-PBE) results for HoEr2Al after structural relaxation.

Structure (extended XYZ):
```
4
Lattice="-2.929 -1.683 -0.555 0.014 -3.411 -0.290 -2.549 -2.660 10.964" Properties=species:S:1:pos:R:3 pbc="T T T"
Al -2.732 -3.877 5.060
Ho 0.000 0.000 0.000
Er -2.076 -2.372 7.595
Er -3.388 -5.382 2.524
```

Output
space-group type: R-3m, No. 166
raw total energy: -4.247 eV/atom
formation enthalpy at 0 K: 2.7 kcal/mol of atoms



(12)
DFT (GGA-PBE) results for HoEr7Al4 after structural relaxation.

Structure (extended XYZ):
```
12
Lattice="-2.571 4.461 -3.916 -7.677 -1.129 3.087 -3.778 8.215 1.150" Properties=species:S:1:pos:R:3 pbc="T T T"
Ho 0.000 0.000 0.000
Er -10.592 6.859 0.549
Er -3.435 4.688 -0.229
Er -5.750 2.079 1.158
Er -8.276 9.468 -0.837
Er -7.401 6.997 1.197
Er -1.286 2.231 -1.958
Er -6.626 4.549 -0.876
Al -5.695 7.531 -1.222
Al -8.332 4.015 1.543
Al -11.395 9.991 -0.329
Al -2.631 1.556 0.650
```

Output
space-group type: P-1, No. 2
raw total energy: -4.485 eV/atom
formation enthalpy at 0 K: -4.5 kcal/mol of atoms